IrRh2Se | Alexandria | PBEsol | relaxed; space-group type = Cmmm (65); E = -29.32 eV per cell; density = 13.851 g/cm3
1.0
2.811 0.000 0.000
0.000 4.639 -0.002
0.000 -1.515 4.385
Rh Se Ir
2 1 1
Direct
0.000 0.000 0.500
0.000 0.500 0.000
0.500 0.000 0.000
0.500 0.500 0.500

Ir3RhSe | Alexandria | PBEsol | relaxed; space-group type = Pm-3m (221); E = -30.57 eV per cell; density = 12.593 g/cm3
1.0
4.642 0.000 0.000
0.000 4.642 0.000
0.000 0.000 4.642
Ir Rh Se
3 1 1
Direct
0.000 0.000 0.500
0.000 0.500 0.000
0.500 0.000 0.000
0.000 0.000 0.000
0.500 0.500 0.500

Si2IrRh | Alexandria | PBEsol | relaxed; space-group type = Imm2 (44); E = -31.35 eV per cell; density = 10.955 g/cm3
1.0
2.945 0.000 0.000
0.000 3.988 0.000
-1.472 -1.994 4.533
Si Rh Ir
2 1 1
Direct
0.242 0.742 0.484
0.008 0.008 0.015
0.734 0.234 0.467
0.517 0.517 0.034

Question: Which formula does entry 3 have?
Answer: Si2IrRh